#1
A relaxed MgBeSn2 crystal, computed with GGA-PBE. Values from VASP.

Calculated values
Total magnetization   0.00 μB per formula unit
DOS(E_F)   0.640 states/eV per atom
Crystal system   cubic
Space-group type   Fm-3m (225)

Geometry as Quantum ESPRESSO input:
```
&SYSTEM
  ibrav = 0, nat = 4, ntyp = 3
/
ATOMIC_SPECIES
Mg 24.30 Mg.upf
Be 9.01 Be.upf
Sn 118.71 Sn.upf
ATOMIC_POSITIONS crystal
Mg 0.000 0.000 0.000
Be 0.500 0.500 0.500
Sn 0.250 0.250 0.250
Sn 0.750 0.750 0.750
CELL_PARAMETERS angstrom
0.000 3.494 3.494
3.494 0.000 3.494
3.494 3.494 0.000
```

#2
A relaxed MgBeSn2 crystal, computed with GGA-PBE. Values from VASP.

Calculated values
Total magnetization   0.00 μB per formula unit
DOS(E_F)   0.000 states/eV per atom
Crystal system   tetragonal
Space-group type   I-42d (122)

Geometry as Quantum ESPRESSO input:
```
&SYSTEM
  ibrav = 0, nat = 8, ntyp = 3
/
ATOMIC_SPECIES
Mg 24.30 Mg.upf
Be 9.01 Be.upf
Sn 118.71 Sn.upf
ATOMIC_POSITIONS crystal
Mg 0.000 0.000 0.000
Mg 0.750 0.250 0.500
Be 0.250 0.750 0.500
Be 0.500 0.500 0.000
Sn 0.189 0.625 0.064
Sn 0.375 0.439 0.564
Sn 0.561 0.125 0.936
Sn 0.875 0.811 0.436
CELL_PARAMETERS angstrom
-2.425 2.425 8.262
2.425 -2.425 8.262
2.425 2.425 -8.262
```

Energy above the most stable structure, in meV per atom: #1 118; #2 0

#1
A relaxed Mg2BeSn crystal, computed with GGA-PBE. Values from VASP.

Calculated values
Total magnetization   0.00 μB per formula unit
DOS(E_F)   0.165 states/eV per atom
Crystal system   cubic
Space-group type   Fm-3m (225)

Geometry as Quantum ESPRESSO input:
```
&SYSTEM
  ibrav = 0, nat = 4, ntyp = 3
/
ATOMIC_SPECIES
Mg 24.30 Mg.upf
Be 9.01 Be.upf
Sn 118.71 Sn.upf
ATOMIC_POSITIONS crystal
Mg 0.250 0.250 0.250
Mg 0.750 0.750 0.750
Be 0.000 0.000 0.000
Sn 0.500 0.500 0.500
CELL_PARAMETERS angstrom
0.000 3.408 3.408
3.408 0.000 3.408
3.408 3.408 0.000
```

#2
A relaxed Mg2BeSn crystal, computed with GGA-PBE. Values from VASP.

Calculated values
Total magnetization   0.00 μB per formula unit
DOS(E_F)   0.381 states/eV per atom
Crystal system   tetragonal
Space-group type   I-42d (122)

Geometry as Quantum ESPRESSO input:
```
&SYSTEM
  ibrav = 0, nat = 8, ntyp = 3
/
ATOMIC_SPECIES
Mg 24.30 Mg.upf
Be 9.01 Be.upf
Sn 118.71 Sn.upf
ATOMIC_POSITIONS crystal
Mg 0.102 0.625 0.977
Mg 0.375 0.352 0.477
Mg 0.648 0.125 0.023
Mg 0.875 0.898 0.523
Be 0.000 0.000 0.000
Be 0.750 0.250 0.500
Sn 0.250 0.750 0.500
Sn 0.500 0.500 0.000
CELL_PARAMETERS angstrom
-2.110 2.110 9.556
2.110 -2.110 9.556
2.110 2.110 -9.556
```

#3
A relaxed Mg2BeSn crystal, computed with GGA-PBE. Values from VASP.

Calculated values
Total magnetization   0.00 μB per formula unit
DOS(E_F)   0.487 states/eV per atom
Crystal system   trigonal
Space-group type   R-3m (166)

Geometry as Quantum ESPRESSO input:
```
&SYSTEM
  ibrav = 0, nat = 4, ntyp = 3
/
ATOMIC_SPECIES
Mg 24.30 Mg.upf
Be 9.01 Be.upf
Sn 118.71 Sn.upf
ATOMIC_POSITIONS crystal
Mg 0.082 0.082 0.082
Mg 0.918 0.918 0.918
Be 0.000 0.000 0.000
Sn 0.500 0.500 0.500
CELL_PARAMETERS angstrom
1.572 0.907 10.518
-1.572 0.907 10.518
0.000 -1.815 10.518
```

Energy above the most stable structure, in meV per atom: #1 0; #2 112; #3 284

#1
A relaxed MgBeSn3 crystal, computed with GGA-PBE. Values from VASP.

Calculated values
Total magnetization   0.00 μB per formula unit
DOS(E_F)   0.261 states/eV per atom
Crystal system   cubic
Space-group type   Pm-3m (221)

Geometry as Quantum ESPRESSO input:
```
&SYSTEM
  ibrav = 0, nat = 5, ntyp = 3
/
ATOMIC_SPECIES
Mg 24.30 Mg.upf
Be 9.01 Be.upf
Sn 118.71 Sn.upf
ATOMIC_POSITIONS crystal
Mg 0.000 0.000 0.000
Be 0.500 0.500 0.500
Sn 0.000 0.000 0.500
Sn 0.000 0.500 0.000
Sn 0.500 0.000 0.000
CELL_PARAMETERS angstrom
5.369 0.000 0.000
0.000 5.369 0.000
0.000 0.000 5.369
```

#2
A relaxed MgBeSn3 crystal, computed with GGA-PBE. Values from VASP.

Calculated values
Total magnetization   0.00 μB per formula unit
DOS(E_F)   0.370 states/eV per atom
Crystal system   cubic
Space-group type   Pm-3m (221)

Geometry as Quantum ESPRESSO input:
```
&SYSTEM
  ibrav = 0, nat = 5, ntyp = 3
/
ATOMIC_SPECIES
Mg 24.30 Mg.upf
Be 9.01 Be.upf
Sn 118.71 Sn.upf
ATOMIC_POSITIONS crystal
Mg 0.000 0.000 0.000
Be 0.500 0.500 0.500
Sn 0.000 0.500 0.500
Sn 0.500 0.000 0.500
Sn 0.500 0.500 0.000
CELL_PARAMETERS angstrom
4.994 0.000 0.000
0.000 4.994 0.000
0.000 0.000 4.994
```

Energy above the most stable structure, in meV per atom: #1 656; #2 0

#1
A relaxed SrMgBe crystal, computed with GGA-PBE. Values from VASP.

Calculated values
Total magnetization   0.00 μB per formula unit
DOS(E_F)   0.822 states/eV per atom
Crystal system   cubic
Space-group type   F-43m (216)

Geometry as Quantum ESPRESSO input:
```
&SYSTEM
  ibrav = 0, nat = 3, ntyp = 3
/
ATOMIC_SPECIES
Sr 87.62 Sr.upf
Mg 24.30 Mg.upf
Be 9.01 Be.upf
ATOMIC_POSITIONS crystal
Sr 0.000 0.000 0.000
Mg 0.250 0.250 0.250
Be 0.500 0.500 0.500
CELL_PARAMETERS angstrom
0.000 3.544 3.544
3.544 0.000 3.544
3.544 3.544 0.000
```

#2
A relaxed SrMgBe crystal, computed with GGA-PBE. Values from VASP.

Calculated values
Total magnetization   0.00 μB per formula unit
DOS(E_F)   0.822 states/eV per atom
Crystal system   cubic
Space-group type   F-43m (216)

Geometry as Quantum ESPRESSO input:
```
&SYSTEM
  ibrav = 0, nat = 3, ntyp = 3
/
ATOMIC_SPECIES
Sr 87.62 Sr.upf
Mg 24.30 Mg.upf
Be 9.01 Be.upf
ATOMIC_POSITIONS crystal
Sr 0.000 0.000 0.000
Mg 0.500 0.500 0.500
Be 0.250 0.250 0.250
CELL_PARAMETERS angstrom
0.000 3.504 3.504
3.504 0.000 3.504
3.504 3.504 0.000
```

Energy above the most stable structure, in meV per atom: #1 279; #2 0

#1
A relaxed SrMgBe crystal, computed with GGA-PBE. Values from VASP.

Calculated values
Total magnetization   0.00 μB per formula unit
DOS(E_F)   0.710 states/eV per atom
Crystal system   tetragonal
Space-group type   I4mm (107)

Geometry as Quantum ESPRESSO input:
```
&SYSTEM
  ibrav = 0, nat = 3, ntyp = 3
/
ATOMIC_SPECIES
Sr 87.62 Sr.upf
Mg 24.30 Mg.upf
Be 9.01 Be.upf
ATOMIC_POSITIONS crystal
Sr 0.000 0.000 0.000
Mg 0.277 0.277 0.000
Be 0.679 0.679 0.000
CELL_PARAMETERS angstrom
-1.766 1.766 5.994
1.766 -1.766 5.994
1.766 1.766 -5.994
```

#2
A relaxed SrMgBe crystal, computed with GGA-PBE. Values from VASP.

Calculated values
Total magnetization   0.00 μB per formula unit
DOS(E_F)   0.755 states/eV per atom
Crystal system   hexagonal
Space-group type   P-6m2 (187)

Geometry as Quantum ESPRESSO input:
```
&SYSTEM
  ibrav = 0, nat = 3, ntyp = 3
/
ATOMIC_SPECIES
Sr 87.62 Sr.upf
Mg 24.30 Mg.upf
Be 9.01 Be.upf
ATOMIC_POSITIONS crystal
Sr 0.000 0.000 0.000
Mg 0.333 0.667 0.500
Be 0.667 0.333 0.500
CELL_PARAMETERS angstrom
4.701 0.000 0.000
-2.351 4.072 0.000
0.000 0.000 4.265
```

Energy above the most stable structure, in meV per atom: #1 27; #2 0

#1
A relaxed Sr2Mg2Be crystal, computed with GGA-PBE. Values from VASP.

Calculated values
Total magnetization   0.00 μB per formula unit
DOS(E_F)   0.958 states/eV per atom
Crystal system   tetragonal
Space-group type   P4/mbm (127)

Geometry as Quantum ESPRESSO input:
```
&SYSTEM
  ibrav = 0, nat = 10, ntyp = 3
/
ATOMIC_SPECIES
Sr 87.62 Sr.upf
Mg 24.30 Mg.upf
Be 9.01 Be.upf
ATOMIC_POSITIONS crystal
Sr 0.166 0.334 0.000
Sr 0.334 0.834 0.000
Sr 0.666 0.166 0.000
Sr 0.834 0.666 0.000
Mg 0.134 0.634 0.500
Mg 0.366 0.134 0.500
Mg 0.634 0.866 0.500
Mg 0.866 0.366 0.500
Be 0.000 0.000 0.000
Be 0.500 0.500 0.000
CELL_PARAMETERS angstrom
8.433 0.000 0.000
0.000 8.433 0.000
0.000 0.000 5.198
```

#2
A relaxed Sr2Mg2Be crystal, computed with GGA-PBE. Values from VASP.

Calculated values
Total magnetization   0.00 μB per formula unit
DOS(E_F)   0.693 states/eV per atom
Crystal system   tetragonal
Space-group type   I4/mmm (139)

Geometry as Quantum ESPRESSO input:
```
&SYSTEM
  ibrav = 0, nat = 5, ntyp = 3
/
ATOMIC_SPECIES
Sr 87.62 Sr.upf
Mg 24.30 Mg.upf
Be 9.01 Be.upf
ATOMIC_POSITIONS crystal
Sr 0.091 0.091 0.000
Sr 0.909 0.909 0.000
Mg 0.250 0.750 0.500
Mg 0.750 0.250 0.500
Be 0.500 0.500 0.000
CELL_PARAMETERS angstrom
-2.016 2.016 9.965
2.016 -2.016 9.965
2.016 2.016 -9.965
```

Energy above the most stable structure, in meV per atom: #1 199; #2 0